Record 1
This record from Alexandria describes AgPPt after structural relaxation. The functional is PBE.

CIF file:
```
data_AgPPt
_chemical_formula_sum 'Ag4 P4 Pt4'
_cell_length_a 5.8995
_cell_length_b 5.8995
_cell_length_c 5.8995
_cell_angle_alpha 90.00
_cell_angle_beta 90.00
_cell_angle_gamma 90.00
_space_group_name_H-M_alt 'F -4 3 m'
_space_group_IT_number 216
_space_group_name_Hall 'F -4 2 3'
loop_
_atom_site_label
_atom_site_fract_x
_atom_site_fract_y
_atom_site_fract_z
Ag1 0.0000 0.0000 0.0000
P1 0.2500 0.2500 0.7500
Pt1 0.0000 0.0000 0.5000
```

Output
offset from the most stable computed form = 219 meV/atom
crystal system = cubic
volume = 51.3 Å³/f.u.
energy = -4.71 eV per atom
DFT formation energy = 15 kJ/mol of formula units

=====

Record 2
This record from Alexandria describes DyHfGaRu after structural relaxation. The functional is PBE.

CIF file:
```
data_DyHfGaRu
_chemical_formula_sum 'Dy4 Hf4 Ga4 Ru4'
_cell_length_a 6.7788
_cell_length_b 6.7788
_cell_length_c 6.7788
_cell_angle_alpha 90.00
_cell_angle_beta 90.00
_cell_angle_gamma 90.00
_space_group_name_H-M_alt 'F -4 3 m'
_space_group_IT_number 216
_space_group_name_Hall 'F -4 2 3'
loop_
_atom_site_label
_atom_site_fract_x
_atom_site_fract_y
_atom_site_fract_z
Dy1 0.0000 0.0000 0.0000
Hf1 0.0000 0.0000 0.5000
Ga1 0.2500 0.2500 0.7500
Ru1 0.2500 0.2500 0.2500
```

Output
crystal system = cubic
volume = 77.9 Å³/f.u.
energy = -7.12 eV per atom
DFT formation energy = -156 kJ/mol of formula units

=====

Record 3
This record from Alexandria describes HoZrPa2 after structural relaxation. The functional is PBE.

CIF file:
```
data_HoZrPa2
_chemical_formula_sum 'Ho1 Zr1 Pa2'
_cell_length_a 3.1672
_cell_length_b 3.1672
_cell_length_c 10.2456
_cell_angle_alpha 90.00
_cell_angle_beta 90.00
_cell_angle_gamma 90.00
_space_group_name_H-M_alt 'P 4/m m m'
_space_group_IT_number 123
_space_group_name_Hall '-P 4 2'
loop_
_atom_site_label
_atom_site_fract_x
_atom_site_fract_y
_atom_site_fract_z
Ho1 0.0000 0.0000 0.0000
Zr1 0.0000 0.0000 0.5000
Pa1 0.5000 0.5000 0.2604
```

Output
offset from the most stable computed form = 46 meV/atom
crystal system = tetragonal
volume = 102.8 Å³/f.u.
energy = -7.84 eV per atom
DFT formation energy = 71 kJ/mol of formula units

=====

Record 4
This record from Alexandria describes TmTlNi after structural relaxation. The functional is PBE.

CIF file:
```
data_TmTlNi
_chemical_formula_sum 'Tm6 Tl6 Ni6'
_cell_length_a 6.4419
_cell_length_b 6.4419
_cell_length_c 11.4154
_cell_angle_alpha 90.00
_cell_angle_beta 90.00
_cell_angle_gamma 120.00
_space_group_name_H-M_alt 'P 62 2 2'
_space_group_IT_number 180
_space_group_name_Hall 'P 62 2 (0 0 4)'
loop_
_atom_site_label
_atom_site_fract_x
_atom_site_fract_y
_atom_site_fract_z
Tm1 0.0000 0.5000 0.3871
Tl1 0.0000 0.0000 0.1667
Tl2 0.0000 0.5000 0.6667
Ni1 0.2091 0.6045 0.1667
```

Output
crystal system = hexagonal
volume = 68.4 Å³/f.u.
energy = -4.33 eV per atom
DFT formation energy = -37 kJ/mol of formula units